Entry 1:
First-principles (GGA-PBE) data for a geometry-optimized SbIrWI2 structure, as listed in Alexandria.

Lattice parameters (Å, degrees): 5.5251 5.5251 5.0037 90.00 90.00 90.00
Element x y z (fractional)
1 Sb 0.0000 0.0000 0.0000
2 Ir 0.0000 0.0000 0.5000
3 W 0.5000 0.5000 0.0000
4 I 0.0000 0.5000 0.5000
5 I 0.5000 0.0000 0.5000



Entry 2:
First-principles (GGA-PBE) data for a geometry-optimized ZnSbIrI2 structure, as listed in Alexandria.

Lattice parameters (Å, degrees): 5.6797 5.6797 4.9856 90.00 90.00 90.00
Element x y z (fractional)
1 Zn 0.0000 0.0000 0.0000
2 Sb 0.5000 0.5000 0.0000
3 Ir 0.5000 0.5000 0.5000
4 I 0.0000 0.5000 0.5000
5 I 0.5000 0.0000 0.5000



Entry 3:
First-principles (GGA-PBE) data for a geometry-optimized ZnSbIrI2 structure, as listed in Alexandria.

Lattice parameters (Å, degrees): 5.3206 5.3206 5.3289 90.00 90.00 90.00
Element x y z (fractional)
1 Zn 0.0000 0.0000 0.0000
2 Sb 0.0000 0.0000 0.5000
3 Ir 0.5000 0.5000 0.5000
4 I 0.0000 0.5000 0.0000
5 I 0.5000 0.0000 0.0000



Entry 4:
First-principles (GGA-PBE) data for a geometry-optimized ScIrI3 structure, as listed in Alexandria.

Lattice parameters (Å, degrees): 5.6989 5.6989 5.6989 90.00 90.00 90.00
Element x y z (fractional)
1 Sc 0.0000 0.0000 0.0000
2 Ir 0.5000 0.5000 0.5000
3 I 0.0000 0.0000 0.5000
4 I 0.0000 0.5000 0.0000
5 I 0.5000 0.0000 0.0000



Entry 5:
First-principles (GGA-PBE) data for a geometry-optimized Sc2IrI2 structure, as listed in Alexandria.

Lattice parameters (Å, degrees): 7.2194 7.2194 4.8737 90.00 90.00 90.00
Element x y z (fractional)
1 Sc 0.1744 0.3256 0.0000
2 Sc 0.3256 0.8256 0.0000
3 Sc 0.6744 0.1744 0.0000
4 Sc 0.8256 0.6744 0.0000
5 Ir 0.0000 0.0000 0.0000
6 Ir 0.5000 0.5000 0.0000
7 I 0.1650 0.6650 0.5000
8 I 0.3350 0.1650 0.5000
9 I 0.6650 0.8350 0.5000
10 I 0.8350 0.3350 0.5000



Entry 6:
First-principles (GGA-PBE) data for a geometry-optimized ScIrI3 structure, as listed in Alexandria.

Lattice parameters (Å, degrees): 5.3897 5.3897 5.3897 90.00 90.00 90.00
Element x y z (fractional)
1 Sc 0.0000 0.0000 0.0000
2 Ir 0.5000 0.5000 0.5000
3 I 0.0000 0.5000 0.5000
4 I 0.5000 0.0000 0.5000
5 I 0.5000 0.5000 0.0000



Entry 7:
First-principles (GGA-PBE) data for a geometry-optimized Sc2IrI4 structure, as listed in Alexandria.

Lattice parameters (Å, degrees): 8.1359 8.1359 8.1359 140.12 140.12 57.67
Element x y z (fractional)
1 Sc 0.1007 0.1007 0.0000
2 Sc 0.8993 0.8993 0.0000
3 Ir 0.5000 0.5000 0.0000
4 I 0.0000 0.5000 0.5000
5 I 0.3026 0.3026 0.0000
6 I 0.5000 0.0000 0.5000
7 I 0.6974 0.6974 0.0000



Entry 8:
First-principles (GGA-PBE) data for a geometry-optimized Sc3IrI structure, as listed in Alexandria.

Lattice parameters (Å, degrees): 5.1340 5.1340 5.1340 90.00 90.00 90.00
Element x y z (fractional)
1 Sc 0.0000 0.0000 0.5000
2 Sc 0.0000 0.5000 0.0000
3 Sc 0.5000 0.0000 0.0000
4 Ir 0.0000 0.0000 0.0000
5 I 0.5000 0.5000 0.5000



Entry 9:
First-principles (GGA-PBE) data for a geometry-optimized Sc2IrI2 structure, as listed in Alexandria.

Lattice parameters (Å, degrees): 7.3820 7.3820 7.3820 144.24 144.24 51.47
Element x y z (fractional)
1 Sc 0.1080 0.1080 0.0000
2 Sc 0.8920 0.8920 0.0000
3 Ir 0.5000 0.5000 0.0000
4 I 0.2500 0.7500 0.5000
5 I 0.7500 0.2500 0.5000



Entry 10:
First-principles (GGA-PBE) data for a geometry-optimized Sc4IrI5 structure, as listed in Alexandria.

Lattice parameters (Å, degrees): 9.6385 9.6385 8.4802 102.23 102.23 23.91
Element x y z (fractional)
1 Sc 0.0011 0.0011 0.2012
2 Sc 0.3625 0.3625 0.9307
3 Sc 0.6375 0.6375 0.0693
4 Sc 0.9989 0.9989 0.7988
5 Ir 0.5000 0.5000 0.0000
6 I 0.1659 0.1659 0.3338
7 I 0.1723 0.1723 0.8348
8 I 0.5000 0.5000 0.5000
9 I 0.8277 0.8277 0.1652
10 I 0.8341 0.8341 0.6662



Entry 11:
First-principles (GGA-PBE) data for a geometry-optimized ScIrSeI2 structure, as listed in Alexandria.

Lattice parameters (Å, degrees): 5.9007 5.9007 4.5152 90.00 90.00 90.00
Element x y z (fractional)
1 Sc 0.0000 0.0000 0.0000
2 Ir 0.5000 0.5000 0.0000
3 Se 0.5000 0.5000 0.5000
4 I 0.0000 0.5000 0.5000
5 I 0.5000 0.0000 0.5000



Entry 12:
First-principles (GGA-PBE) data for a geometry-optimized ZrSc2IrI structure, as listed in Alexandria.

Lattice parameters (Å, degrees): 5.1513 5.1513 5.0939 90.00 90.00 90.00
Element x y z (fractional)
1 Zr 0.0000 0.0000 0.0000
2 Sc 0.0000 0.5000 0.5000
3 Sc 0.5000 0.0000 0.5000
4 Ir 0.0000 0.0000 0.5000
5 I 0.5000 0.5000 0.0000



Entry 13:
First-principles (GGA-PBE) data for a geometry-optimized Ir3SeI structure, as listed in Alexandria.

Lattice parameters (Å, degrees): 4.6949 4.6949 4.6949 90.00 90.00 90.00
Element x y z (fractional)
1 Ir 0.0000 0.0000 0.5000
2 Ir 0.0000 0.5000 0.0000
3 Ir 0.5000 0.0000 0.0000
4 Se 0.0000 0.0000 0.0000
5 I 0.5000 0.5000 0.5000



Entry 14:
First-principles (GGA-PBE) data for a geometry-optimized Ir3SeI structure, as listed in Alexandria.

Lattice parameters (Å, degrees): 4.8865 4.8865 4.8865 90.00 90.00 90.00
Element x y z (fractional)
1 Ir 0.0000 0.0000 0.5000
2 Ir 0.0000 0.5000 0.0000
3 Ir 0.5000 0.0000 0.0000
4 Se 0.5000 0.5000 0.5000
5 I 0.0000 0.0000 0.0000



Entry 15:
First-principles (GGA-PBE) data for a geometry-optimized IrSeI2 structure, as listed in Alexandria.

Lattice parameters (Å, degrees): 6.7492 6.7492 6.7492 113.39 113.39 101.89
Element x y z (fractional)
1 Ir 0.0000 0.0000 0.0000
2 Ir 0.7500 0.2500 0.5000
3 Se 0.2500 0.7500 0.5000
4 Se 0.5000 0.5000 0.0000
5 I 0.0731 0.6250 0.9481
6 I 0.3750 0.3231 0.4481
7 I 0.6769 0.1250 0.0519
8 I 0.8750 0.9269 0.5519



Entry 16:
First-principles (GGA-PBE) data for a geometry-optimized IrSeI2 structure, as listed in Alexandria.

Lattice parameters (Å, degrees): 5.0453 5.0453 5.0453 60.00 60.00 60.00
Element x y z (fractional)
1 Ir 0.0000 0.0000 0.0000
2 Se 0.5000 0.5000 0.5000
3 I 0.2500 0.2500 0.2500
4 I 0.7500 0.7500 0.7500



Entry 17:
First-principles (GGA-PBE) data for a geometry-optimized Sm4IrSeI2 structure, as listed in Alexandria.

Lattice parameters (Å, degrees): 7.6613 4.1545 8.1390 90.00 107.12 90.00
Element x y z (fractional)
1 Sm 0.2032 0.0000 0.1871
2 Sm 0.2529 0.5000 0.8096
3 Sm 0.7471 0.5000 0.1904
4 Sm 0.7968 0.0000 0.8129
5 Ir 0.0000 0.5000 0.0000
6 Se 0.5000 0.0000 0.0000
7 I 0.0000 0.0000 0.5000
8 I 0.5000 0.5000 0.5000



Entry 18:
First-principles (GGA-PBE) data for a geometry-optimized Sm6Ir2SeI3 structure, as listed in Alexandria.

Lattice parameters (Å, degrees): 7.3817 7.3817 8.2582 98.55 98.55 119.95
Element x y z (fractional)
1 Sm 0.0804 0.4371 0.8129
2 Sm 0.2054 0.2054 0.1863
3 Sm 0.4371 0.0804 0.8129
4 Sm 0.5629 0.9196 0.1871
5 Sm 0.7946 0.7946 0.8137
6 Sm 0.9196 0.5629 0.1871
7 Ir 0.1670 0.8330 0.0000
8 Ir 0.8330 0.1670 0.0000
9 Se 0.5000 0.5000 0.0000
10 I 0.0000 0.0000 0.5000
11 I 0.3374 0.6626 0.5000
12 I 0.6626 0.3374 0.5000



Entry 19:
First-principles (GGA-PBE) data for a geometry-optimized Sm6Ir2Se3I structure, as listed in Alexandria.

Lattice parameters (Å, degrees): 9.5080 9.5080 8.7901 104.20 104.20 25.02
Element x y z (fractional)
1 Sm 0.0151 0.0151 0.2853
2 Sm 0.3189 0.3189 0.8739
3 Sm 0.3280 0.3280 0.4233
4 Sm 0.6720 0.6720 0.5767
5 Sm 0.6811 0.6811 0.1261
6 Sm 0.9849 0.9849 0.7147
7 Ir 0.1703 0.1703 0.3423
8 Ir 0.8297 0.8297 0.6577
9 Se 0.1556 0.1556 0.8449
10 Se 0.5000 0.5000 0.5000
11 Se 0.8444 0.8444 0.1551
12 I 0.5000 0.5000 0.0000



Entry 20:
First-principles (GGA-PBE) data for a geometry-optimized SrIrSeI2 structure, as listed in Alexandria.

Lattice parameters (Å, degrees): 6.2867 6.2867 5.9084 90.00 90.00 90.00
Element x y z (fractional)
1 Sr 0.0000 0.0000 0.0000
2 Ir 0.5000 0.5000 0.5000
3 Se 0.0000 0.0000 0.5000
4 I 0.0000 0.5000 0.0000
5 I 0.5000 0.0000 0.0000



Entry 21:
First-principles (GGA-PBE) data for a geometry-optimized Te2IrSeI structure, as listed in Alexandria.

Lattice parameters (Å, degrees): 5.2137 5.2137 5.4192 90.00 90.00 90.00
Element x y z (fractional)
1 Te 0.0000 0.5000 0.0000
2 Te 0.5000 0.0000 0.0000
3 Ir 0.0000 0.0000 0.0000
4 Se 0.5000 0.5000 0.5000
5 I 0.0000 0.0000 0.5000



Entry 22:
First-principles (GGA-PBE) data for a geometry-optimized TeIrSeI2 structure, as listed in Alexandria.

Lattice parameters (Å, degrees): 5.5503 5.5503 5.6032 90.00 90.00 90.00
Element x y z (fractional)
1 Te 0.0000 0.0000 0.0000
2 Ir 0.5000 0.5000 0.0000
3 Se 0.0000 0.0000 0.5000
4 I 0.0000 0.5000 0.5000
5 I 0.5000 0.0000 0.5000



Entry 23:
First-principles (GGA-PBE) data for a geometry-optimized Te2IrSeI structure, as listed in Alexandria.

Lattice parameters (Å, degrees): 5.4399 5.4399 5.4506 90.00 90.00 90.00
Element x y z (fractional)
1 Te 0.0000 0.5000 0.0000
2 Te 0.5000 0.0000 0.0000
3 Ir 0.0000 0.0000 0.5000
4 Se 0.5000 0.5000 0.0000
5 I 0.5000 0.5000 0.5000



Entry 24:
First-principles (GGA-PBE) data for a geometry-optimized TeIrSeI2 structure, as listed in Alexandria.

Lattice parameters (Å, degrees): 5.4383 5.4383 5.1295 90.00 90.00 90.00
Element x y z (fractional)
1 Te 0.0000 0.0000 0.0000
2 Ir 0.0000 0.0000 0.5000
3 Se 0.5000 0.5000 0.0000
4 I 0.0000 0.5000 0.5000
5 I 0.5000 0.0000 0.5000



Entry 25:
First-principles (GGA-PBE) data for a geometry-optimized YIrSe2I structure, as listed in Alexandria.

Lattice parameters (Å, degrees): 5.3347 5.3347 4.9098 90.00 90.00 90.00
Element x y z (fractional)
1 Y 0.0000 0.0000 0.0000
2 Ir 0.5000 0.5000 0.0000
3 Se 0.0000 0.5000 0.5000
4 Se 0.5000 0.0000 0.5000
5 I 0.5000 0.5000 0.5000



Entry 26:
First-principles (GGA-PBE) data for a geometry-optimized SiIr2I structure, as listed in Alexandria.

Lattice parameters (Å, degrees): 4.5718 4.5718 4.5718 60.00 60.00 60.00
Element x y z (fractional)
1 Si 0.0000 0.0000 0.0000
2 Ir 0.2500 0.2500 0.2500
3 Ir 0.7500 0.7500 0.7500
4 I 0.5000 0.5000 0.5000



Entry 27:
First-principles (GGA-PBE) data for a geometry-optimized SiIr3I structure, as listed in Alexandria.

Lattice parameters (Å, degrees): 4.8653 4.8653 4.8653 90.00 90.00 90.00
Element x y z (fractional)
1 Si 0.0000 0.0000 0.0000
2 Ir 0.0000 0.5000 0.5000
3 Ir 0.5000 0.0000 0.5000
4 Ir 0.5000 0.5000 0.0000
5 I 0.5000 0.5000 0.5000



These records have theoretical density values of 8171, 6538, 6970, 5543, 7007, 6553, 5975, 5571, 6513, 5361, 6020, 6146, 12556, 11137, 7463, 9600, 7555, 7789, 8423, 4356, 7364, 6278, 6725, 7143, 6726, 13256, 10549 kg/m³, in the order they appear.
These records have raw formation energy values of 1.557, 0.446, 1.278, 0.521, -0.230, 0.308, -0.038, -0.369, 0.414, -1.032, 0.713, -0.214, 1.447, 2.158, 0.678, 1.146, -1.144, -1.107, -1.282, 0.827, 0.601, 1.441, 1.445, 0.614, 0.619, 0.820, 2.164 eV/atom, in the order they appear.
These records have density of states at the Fermi level values of 1.15, 0.70, 1.45, 1.80, 0.73, 1.72, 0.93, 1.23, 1.01, 0.71, 1.22, 0.82, 1.00, 1.65, 0.59, 1.40, 0.70, 0.57, 0.52, 2.95, 1.27, 1.80, 1.50, 1.17, 0.59, 2.13, 1.44 states/eV per atom, in the order they appear.